1.
## HgNCl2 (PBE-GGA)

Data for crystalline HgNCl2 at its relaxed geometry.

Summary:
The energy relative to the elements, uncorrected is 1.27 eV per atom. The magnetization is 1.08 μB/f.u. As for the space group: No. 166.

Structure (POSCAR):
```
HgNCl2
1.0
3.2975 8.9208 0.7770
6.1291 7.3138 -0.0095
4.0346 8.2988 -2.4307
Cl N Hg
2 1 1
Direct
0.8808 0.8808 0.8808
0.1192 0.1192 0.1192
0.5000 0.5000 0.5000
0.0000 0.0000 0.0000
```

2.
## AsP2Ru (PBE-GGA)

Data for crystalline AsP2Ru at its relaxed geometry.

Summary:
The magnetization is 0.00 μB/f.u. As for the space group: No. 99. As for the formation energy from the elements: 94 meV/atom.

Structure (POSCAR):
```
AsP2Ru
1.0
-2.6131 0.8885 -1.2826
-1.4344 -2.3526 1.2925
-1.4131 3.9446 5.6116
P Ru As
2 1 1
Direct
0.0000 0.0000 0.1019
0.5000 0.5000 0.2466
0.0000 0.0000 0.4652
0.5000 0.5000 0.6864
```

3.
## Ho3NpP4 (PBE-GGA)

Data for crystalline Ho3NpP4 at its relaxed geometry.

Summary:
The magnetization is 3.48 μB/f.u. As for the space group: No. 13. As for the formation energy from the elements: -1423 meV/atom.

Structure (POSCAR):
```
Ho3NpP4
1.0
6.8803 0.0598 0.0000
-2.3551 6.4673 0.0000
0.0000 0.0000 7.9455
Ho P Np
6 8 2
Direct
0.7500 0.5000 0.6236
0.2500 0.0000 0.6240
0.2500 0.5000 0.8733
0.7500 0.5000 0.1267
0.2500 0.5000 0.3764
0.7500 0.0000 0.3760
0.9990 0.7551 0.8778
0.5034 0.7514 0.6275
0.0010 0.2449 0.1222
0.4990 0.7551 0.1222
0.4966 0.2486 0.3725
0.9966 0.2486 0.6275
0.5010 0.2449 0.8778
0.0034 0.7514 0.3725
0.2500 0.0000 0.1257
0.7500 0.0000 0.8743
```

4.
## ThSc6Cd (PBE-GGA)

Data for crystalline ThSc6Cd at its relaxed geometry.

Summary:
The magnetization is 0.67 μB/f.u. As for the space group: No. 123. As for the formation energy from the elements: -16 meV/atom.

Structure (POSCAR):
```
ThSc6Cd
1.0
-1.3528 0.3325 4.4467
-2.3304 -4.0144 -0.4088
7.4439 -4.5868 2.6077
Sc Th Cd
6 1 1
Direct
0.5000 0.0000 0.2573
0.5000 0.5000 0.5000
0.0000 0.5000 0.7427
0.0000 0.5000 0.2573
0.5000 0.0000 0.7427
0.5000 0.5000 0.0000
0.0000 0.0000 0.0000
0.0000 0.0000 0.5000
```